Entry from Alexandria: Ti5Be4Ru after structural relaxation (GGA-PBE).

a = 3.009 Å, b = 3.009 Å, c = 14.498 Å
α = 90.00°, β = 90.00°, γ = 90.00°
Space group P4/mmm (No. 123)
Unique sites:
1 Ti 0.000 0.000 0.000 (multiplicity 1)
2 Ti 0.000 0.000 0.196 (multiplicity 2)
3 Ti 0.000 0.000 0.393 (multiplicity 2)
4 Be 0.500 0.500 0.098 (multiplicity 2)
5 Be 0.500 0.500 0.295 (multiplicity 2)
6 Ru 0.500 0.500 0.500 (multiplicity 1)

Results
DOS at the Fermi energy (states/eV/f.u.): 3.0
DFT formation energy (meV per atom): -260
Total magnetic moment (μB per formula unit): 0.0